# 1
The following is a PBE calculation of a relaxed structure of CsN3F, from Alexandria via LeMat-Bulk.

The density of states at the Fermi level is 0.50 states/eV per atom.

The structure belongs to space group Pm-3m (No. 221); the cell edges are 4.7528, 4.7528 and 4.7528 Å and the angles 90.00°, 90.00° and 90.00°. The distinct sites, in fractional coordinates, are Cs at (0.0000, 0.0000, 0.0000), N at (0.0000, 0.0000, 0.5000) and F at (0.5000, 0.5000, 0.5000).


# 2
The following is a PBE calculation of a relaxed structure of CsNF5, from Alexandria via LeMat-Bulk.

The density of states at the Fermi level is 0.07 states/eV per atom.

The structure belongs to space group C2/c (No. 15); the cell edges are 9.3114, 6.6865 and 7.9397 Å and the angles 90.00°, 115.88° and 90.00°. The distinct sites, in fractional coordinates, are Cs at (0.0000, 0.0004, 0.2500), N at (0.0000, 0.5000, 0.0000), F at (0.0000, 0.4991, 0.2500), F at (0.1366, 0.3292, 0.0695) and F at (0.1366, 0.3292, 0.5704).


# 3
The following is a PBE calculation of a relaxed structure of Cs2NF6, from Alexandria via LeMat-Bulk.

The density of states at the Fermi level is 0.19 states/eV per atom. The relative energy among the computed polymorphs is 39 meV per atom.

The structure belongs to space group P-3m1 (No. 164); the cell edges are 6.0440, 6.0440 and 5.3083 Å and the angles 90.00°, 90.00° and 120.00°. The distinct sites, in fractional coordinates, are Cs at (0.3333, 0.6667, 0.2800), N at (0.0000, 0.0000, 0.0000) and F at (0.1354, 0.2707, 0.8142).


# 4
The following is a PBE calculation of a relaxed structure of Cs2NF6, from Alexandria via LeMat-Bulk.

The density of states at the Fermi level is 0.18 states/eV per atom. The relative energy among the computed polymorphs is 0 meV per atom.

The structure belongs to space group P2_1/c (No. 14); the cell edges are 6.3089, 6.3200 and 10.9225 Å and the angles 90.00°, 125.14° and 90.00°. The distinct sites, in fractional coordinates, are Cs at (0.2502, 0.0009, 0.2499), N at (0.0000, 0.0000, 0.5000), F at (0.1922, 0.6931, 0.9991), F at (0.1930, 0.5015, 0.1932) and F at (0.1939, 0.1929, 0.5005).


# 5
The following is a PBE calculation of a relaxed structure of CsN6F12, from Alexandria via LeMat-Bulk.

The density of states at the Fermi level is 0.10 states/eV per atom.

The structure belongs to space group R-3 (No. 148, hexagonal axes); the cell edges are 12.0003, 12.0003 and 7.0393 Å and the angles 90.00°, 90.00° and 120.00°. The distinct sites, in fractional coordinates, are Cs at (0.0000, 0.0000, 0.0000), N at (0.0891, 0.2219, 0.6190), F at (0.0093, 0.7921, 0.2589) and F at (0.0474, 0.8169, 0.7467).


# 6
The following is a PBE calculation of a relaxed structure of CsNF2, from Alexandria via LeMat-Bulk.

The density of states at the Fermi level is 0.00 states/eV per atom. The relative energy among the computed polymorphs is 134 meV per atom.

The structure belongs to space group R-3m (No. 166, hexagonal axes); the cell edges are 4.5722, 4.5722 and 18.9160 Å and the angles 90.00°, 90.00° and 120.00°. The distinct sites, in fractional coordinates, are Cs at (0.0000, 0.0000, 0.0000), N at (0.0000, 0.0000, 0.5000) and F at (0.0000, 0.0000, 0.4077).


# 7
The following is a PBE calculation of a relaxed structure of Cs3NF, from Alexandria via LeMat-Bulk.

The density of states at the Fermi level is 1.60 states/eV per atom.

The structure belongs to space group Pm-3m (No. 221); the cell edges are 5.6976, 5.6976 and 5.6976 Å and the angles 90.00°, 90.00° and 90.00°. The distinct sites, in fractional coordinates, are Cs at (0.0000, 0.0000, 0.5000), N at (0.5000, 0.5000, 0.5000) and F at (0.0000, 0.0000, 0.0000).


# 8
The following is a PBE calculation of a relaxed structure of CsNF2, from Alexandria via LeMat-Bulk.

The density of states at the Fermi level is 0.36 states/eV per atom. The relative energy among the computed polymorphs is 714 meV per atom.

The structure belongs to space group R-3m (No. 166, hexagonal axes); the cell edges are 3.9665, 3.9665 and 15.1032 Å and the angles 90.00°, 90.00° and 120.00°. The distinct sites, in fractional coordinates, are Cs at (0.0000, 0.0000, 0.0000), N at (0.0000, 0.0000, 0.5000) and F at (0.0000, 0.0000, 0.2135).


# 9
The following is a PBE calculation of a relaxed structure of CsNF2, from Alexandria via LeMat-Bulk.

The density of states at the Fermi level is 0.12 states/eV per atom. The relative energy among the computed polymorphs is 487 meV per atom.

The structure belongs to space group I-42d (No. 122); the cell edges are 5.1240, 5.1240 and 12.6627 Å and the angles 90.00°, 90.00° and 90.00°. The distinct sites, in fractional coordinates, are Cs at (0.0000, 0.0000, 0.0000), N at (0.0000, 0.0000, 0.5000) and F at (0.0709, 0.2500, 0.6250).


# 10
The following is a PBE calculation of a relaxed structure of CsN2F11, from Alexandria via LeMat-Bulk.

The density of states at the Fermi level is 1.13 states/eV per atom.

The structure belongs to space group Ibam (No. 72); the cell edges are 9.2865, 9.9978 and 10.8782 Å and the angles 90.00°, 90.00° and 90.00°. The distinct sites, in fractional coordinates, are Cs at (0.0000, 0.0000, 0.2500), N at (0.2102, 0.2804, 0.0000), F at (0.0000, 0.5000, 0.0000), F at (0.1010, 0.2319, 0.1001), F at (0.1918, 0.3195, 0.5000) and F at (0.2254, 0.1216, 0.3992).


# 11
The following is a PBE calculation of a relaxed structure of Cs3NF3, from Alexandria via LeMat-Bulk.

The density of states at the Fermi level is 0.00 states/eV per atom.

The structure belongs to space group C2/m (No. 12); the cell edges are 8.0997, 14.1516 and 7.5586 Å and the angles 90.00°, 99.40° and 90.00°. The distinct sites, in fractional coordinates, are Cs at (0.1101, 0.0000, 0.2675), Cs at (0.2207, 0.3071, 0.2508), N at (0.0445, 0.5000, 0.9512), F at (0.0000, 0.1630, 0.0000), F at (0.0000, 0.2529, 0.5000) and F at (0.2182, 0.0000, 0.6524).


# 12
The following is a PBE calculation of a relaxed structure of CsN2F4, from Alexandria via LeMat-Bulk.

The density of states at the Fermi level is 0.11 states/eV per atom.

The structure belongs to space group C2/m (No. 12); the cell edges are 8.1449, 9.5835 and 3.6778 Å and the angles 90.00°, 115.04° and 90.00°. The distinct sites, in fractional coordinates, are Cs at (0.0000, 0.0000, 0.0000), N at (0.0751, 0.5000, 0.0597) and F at (0.2314, 0.2545, 0.7317).


# 13
The following is a PBE calculation of a relaxed structure of CsNF4, from Alexandria via LeMat-Bulk.

The density of states at the Fermi level is 0.00 states/eV per atom. The relative energy among the computed polymorphs is 0 meV per atom.

The structure belongs to space group Pmn2_1 (No. 31); the cell edges are 7.0587, 4.6190 and 7.4171 Å and the angles 90.00°, 90.00° and 90.00°. The distinct sites, in fractional coordinates, are Cs at (0.0000, 0.1623, 0.0000), N at (0.0000, 0.3600, 0.5912), F at (0.0000, 0.2289, 0.4233), F at (0.0000, 0.6524, 0.5479) and F at (0.2370, 0.6674, 0.1260).


# 14
The following is a PBE calculation of a relaxed structure of CsNF4, from Alexandria via LeMat-Bulk.

The relative energy among the computed polymorphs is 350 meV per atom.

The structure belongs to space group P2_1/c (No. 14); the cell edges are 6.1394, 5.2375 and 8.8322 Å and the angles 90.00°, 120.88° and 90.00°. The distinct sites, in fractional coordinates, are Cs at (0.0000, 0.0000, 0.0000), N at (0.5000, 0.0000, 0.5000), F at (0.1885, 0.0102, 0.4087) and F at (0.4690, 0.7267, 0.8642).


# 15
The following is a PBE calculation of a relaxed structure of CsNF2, from Alexandria via LeMat-Bulk.

The relative energy among the computed polymorphs is 0 meV per atom.

The structure belongs to space group Pnma (No. 62); the cell edges are 9.6621, 4.9375 and 7.7105 Å and the angles 90.00°, 90.00° and 90.00°. The distinct sites, in fractional coordinates, are Cs at (0.1663, 0.2500, 0.0778), N at (0.0140, 0.7500, 0.3184), F at (0.0903, 0.2500, 0.5670) and F at (0.1345, 0.7500, 0.8676).


# 16
The following is a PBE calculation of a relaxed structure of CsNaNF2, from Alexandria via LeMat-Bulk.

The density of states at the Fermi level is 0.46 states/eV per atom.

The structure belongs to space group P4/mmm (No. 123); the cell edges are 5.3525, 5.3525 and 4.7692 Å and the angles 90.00°, 90.00° and 90.00°. The distinct sites, in fractional coordinates, are Cs at (0.0000, 0.0000, 0.0000), Na at (0.5000, 0.5000, 0.5000), N at (0.0000, 0.0000, 0.5000) and F at (0.0000, 0.5000, 0.0000).


# 17
The following is a PBE calculation of a relaxed structure of CsNaN2F8, from Alexandria via LeMat-Bulk.

The density of states at the Fermi level is 0.00 states/eV per atom.

The structure belongs to space group C2/m (No. 12); the cell edges are 8.5979, 6.6596 and 7.6571 Å and the angles 90.00°, 115.06° and 90.00°. The distinct sites, in fractional coordinates, are Cs at (0.0000, 0.0000, 0.0000), Na at (0.0000, 0.5000, 0.5000), N at (0.1963, 0.0000, 0.7113), F at (0.1267, 0.5000, 0.1824), F at (0.1728, 0.2797, 0.7284) and F at (0.1819, 0.0000, 0.5242).


# 18
The following is a PBE calculation of a relaxed structure of CsNbN2F, from Alexandria via LeMat-Bulk.

The density of states at the Fermi level is 2.09 states/eV per atom. The relative energy among the computed polymorphs is 2991 meV per atom.

The structure belongs to space group P4/mmm (No. 123); the cell edges are 4.4035, 4.4035 and 4.7500 Å and the angles 90.00°, 90.00° and 90.00°. The distinct sites, in fractional coordinates, are Cs at (0.0000, 0.0000, 0.0000), Nb at (0.5000, 0.5000, 0.5000), N at (0.0000, 0.5000, 0.0000) and F at (0.0000, 0.0000, 0.5000).


# 19
The following is a PBE calculation of a relaxed structure of CsNbNF2, from Alexandria via LeMat-Bulk.

The density of states at the Fermi level is 0.24 states/eV per atom. The relative energy among the computed polymorphs is 0 meV per atom.

The structure belongs to space group P4/mmm (No. 123); the cell edges are 4.5497, 4.5497 and 4.0441 Å and the angles 90.00°, 90.00° and 90.00°. The distinct sites, in fractional coordinates, are Cs at (0.0000, 0.0000, 0.0000), Nb at (0.5000, 0.5000, 0.5000), N at (0.5000, 0.5000, 0.0000) and F at (0.0000, 0.5000, 0.5000).


# 20
The following is a PBE calculation of a relaxed structure of CsNbNF2, from Alexandria via LeMat-Bulk.

The density of states at the Fermi level is 1.85 states/eV per atom. The relative energy among the computed polymorphs is 2544 meV per atom.

The structure belongs to space group P4/mmm (No. 123); the cell edges are 5.0414, 5.0414 and 4.4694 Å and the angles 90.00°, 90.00° and 90.00°. The distinct sites, in fractional coordinates, are Cs at (0.0000, 0.0000, 0.0000), Nb at (0.5000, 0.5000, 0.5000), N at (0.0000, 0.0000, 0.5000) and F at (0.0000, 0.5000, 0.0000).


# 21
The following is a PBE calculation of a relaxed structure of CsNbN2F, from Alexandria via LeMat-Bulk.

The density of states at the Fermi level is 0.22 states/eV per atom. The relative energy among the computed polymorphs is 0 meV per atom.

The structure belongs to space group P4/mmm (No. 123); the cell edges are 4.1558, 4.1558 and 4.6775 Å and the angles 90.00°, 90.00° and 90.00°. The distinct sites, in fractional coordinates, are Cs at (0.0000, 0.0000, 0.0000), Nb at (0.5000, 0.5000, 0.5000), N at (0.0000, 0.5000, 0.5000) and F at (0.5000, 0.5000, 0.0000).


# 22
The following is a PBE calculation of a relaxed structure of CsN2OF, from Alexandria via LeMat-Bulk.

The density of states at the Fermi level is 0.66 states/eV per atom.

The structure belongs to space group P4/mmm (No. 123); the cell edges are 3.8231, 3.8231 and 6.8825 Å and the angles 90.00°, 90.00° and 90.00°. The distinct sites, in fractional coordinates, are Cs at (0.0000, 0.0000, 0.0000), N at (0.0000, 0.5000, 0.5000), O at (0.5000, 0.5000, 0.5000) and F at (0.5000, 0.5000, 0.0000).


# 23
The following is a PBE calculation of a relaxed structure of CsN2OF, from Alexandria via LeMat-Bulk.

The density of states at the Fermi level is 0.67 states/eV per atom.

The structure belongs to space group P4/mmm (No. 123); the cell edges are 5.5374, 5.5374 and 5.0823 Å and the angles 90.00°, 90.00° and 90.00°. The distinct sites, in fractional coordinates, are Cs at (0.0000, 0.0000, 0.0000), N at (0.0000, 0.5000, 0.0000), O at (0.5000, 0.5000, 0.5000) and F at (0.0000, 0.0000, 0.5000).


Computed formation energy from raw total energies, in the same sequence as the records: 3.01, -0.68, -1.21, -1.25, -0.16, -0.61, -0.40, -0.03, -0.25, -0.41, -2.20, -0.76, -1.11, -0.76, -0.74, -0.38, -1.09, 2.20, -1.70, 0.84, -0.79, 1.11, 1.89 eV/atom.
Computed E_tot, in the same sequence as the records: -12.6, -93.2, -32.2, -65.0, -228.6, -46.0, -14.7, -39.1, -55.7, -175.3, -127.6, -60.6, -46.6, -42.4, -63.5, -16.1, -93.7, -18.4, -31.5, -18.8, -33.4, -18.8, -14.9 eV for the cell shown.